Record 1
{
  "formula": "LaSc2Hg",
  "functional": "PBE-GGA",
  "state": "optimized geometry",
  "lattice": [[3.5295, 0.0000, 0.0000], [0.0000, 4.9716, 0.0000], [-1.5591, 0.0000, 6.1140]],
  "species": ["La", "Sc", "Sc", "Hg"],
  "frac_coords": [[0.0000, 0.0000, 0.0000], [0.3400, 0.5000, 0.7247], [0.6600, 0.5000, 0.2753], [0.5000, 0.0000, 0.5000]],
  "space_group": "P2/m",
  "e_form_ev_per_atom": -0.111,
  "n_ef_per_ev_cell": 5.10
}



Record 2
{
  "formula": "Na3O",
  "functional": "PBE-GGA",
  "state": "optimized geometry",
  "lattice": [[3.3818, 0.0000, 0.0000], [0.0000, 3.3818, 0.0000], [0.0000, 0.0000, 7.0718]],
  "species": ["Na", "Na", "Na", "O"],
  "frac_coords": [[0.0000, 0.0000, 0.0000], [0.0000, 0.5000, 0.7181], [0.5000, 0.0000, 0.2819], [0.5000, 0.5000, 0.0000]],
  "space_group": "P-4m2",
  "n_ef_per_ev_cell": 1.06,
  "e_above_lowest_polymorph_mev_per_atom": 130
}



Record 3
{
  "formula": "AcLa4Nd4",
  "functional": "PBE-GGA",
  "state": "optimized geometry",
  "lattice": [[-5.6102, 5.6102, 2.6514], [5.6102, -5.6102, 2.6514], [5.6102, 5.6102, -2.6514]],
  "species": ["Ac", "La", "La", "La", "La", "Nd", "Nd", "Nd", "Nd"],
  "frac_coords": [[0.0000, 0.0000, 0.0000], [0.3309, 0.3309, 0.6618], [0.3309, 0.6691, 0.0000], [0.6691, 0.3309, 0.0000], [0.6691, 0.6691, 0.3382], [0.0000, 0.3369, 0.3369], [0.0000, 0.6631, 0.6631], [0.3369, 0.0000, 0.3369], [0.6631, 0.0000, 0.6631]],
  "space_group": "I4/mmm",
  "e_form_ev_per_atom": 0.020,
  "n_ef_per_ev_cell": 18.05
}



Record 4
{
  "formula": "TcIrPd",
  "functional": "PBE-GGA",
  "state": "optimized geometry",
  "lattice": [[4.4472, 0.0000, 0.0000], [0.0000, 2.3862, 4.1378], [0.0000, -2.3862, 4.1378]],
  "species": ["Tc", "Tc", "Ir", "Ir", "Pd", "Pd"],
  "frac_coords": [[0.2500, 0.1654, 0.8346], [0.7500, 0.8346, 0.1654], [0.2500, 0.8332, 0.4945], [0.7500, 0.4945, 0.8332], [0.2500, 0.5048, 0.1629], [0.7500, 0.1629, 0.5048]],
  "space_group": "Ama2",
  "e_form_ev_per_atom": -0.024,
  "n_ef_per_ev_cell": 5.93,
  "e_above_lowest_polymorph_mev_per_atom": 41
}



Record 5
{
  "formula": "Hf4MnBe",
  "functional": "PBE-GGA",
  "state": "optimized geometry",
  "lattice": [[-3.0908, 3.0908, 5.7658], [3.0908, -3.0908, 5.7658], [3.0908, 3.0908, -5.7658]],
  "species": ["Hf", "Hf", "Hf", "Hf", "Hf", "Hf", "Hf", "Hf", "Mn", "Mn", "Be", "Be"],
  "frac_coords": [[0.0507, 0.5507, 0.8605], [0.1902, 0.0507, 0.5000], [0.3098, 0.8098, 0.8605], [0.4493, 0.3098, 0.5000], [0.5507, 0.6902, 0.5000], [0.6902, 0.1902, 0.1395], [0.8098, 0.9493, 0.5000], [0.9493, 0.4493, 0.1395], [0.0000, 0.0000, 0.0000], [0.5000, 0.5000, 0.0000], [0.2500, 0.2500, 0.0000], [0.7500, 0.7500, 0.0000]],
  "space_group": "I4/mcm",
  "e_form_ev_per_atom": 0.133,
  "n_ef_per_ev_cell": 12.87
}



Record 6
{
  "formula": "Pu2NpMn",
  "functional": "PBE-GGA",
  "state": "optimized geometry",
  "lattice": [[3.8596, 0.0000, 0.0000], [0.0000, 3.8596, 0.0000], [0.0000, 0.0000, 4.6642]],
  "species": ["Pu", "Pu", "Np", "Mn"],
  "frac_coords": [[0.0000, 0.0000, 0.2493], [0.0000, 0.0000, 0.7507], [0.5000, 0.5000, 0.5000], [0.5000, 0.5000, 0.0000]],
  "space_group": "P4/mmm",
  "e_form_ev_per_atom": 0.425,
  "n_ef_per_ev_cell": 7.75,
  "e_above_lowest_polymorph_mev_per_atom": 177
}



Record 7
{
  "formula": "K4Er3InSe8",
  "functional": "PBE-GGA",
  "state": "optimized geometry",
  "lattice": [[4.1685, 2.4067, 7.6887], [-4.1685, 2.4067, 7.6887], [0.0000, -4.8133, 7.6887]],
  "species": ["K", "K", "K", "K", "Er", "Er", "Er", "In", "Se", "Se", "Se", "Se", "Se", "Se", "Se", "Se"],
  "frac_coords": [[0.0000, 0.0000, 0.0000], [0.0000, 0.5000, 0.5000], [0.5000, 0.0000, 0.5000], [0.5000, 0.5000, 0.0000], [0.0000, 0.0000, 0.5000], [0.0000, 0.5000, 0.0000], [0.5000, 0.0000, 0.0000], [0.5000, 0.5000, 0.5000], [0.2345, 0.2345, 0.2345], [0.2371, 0.7328, 0.7328], [0.2672, 0.2672, 0.7629], [0.2672, 0.7629, 0.2672], [0.7328, 0.2371, 0.7328], [0.7328, 0.7328, 0.2371], [0.7629, 0.2672, 0.2672], [0.7655, 0.7655, 0.7655]],
  "final_energy_ev_per_atom": -4.56,
  "space_group": "R-3m"
}



Record 8
{
  "formula": "Pr3Sm4Y3",
  "functional": "PBE-GGA",
  "state": "optimized geometry",
  "lattice": [[3.7854, 0.0000, 0.0000], [0.0000, 6.7178, 6.7824], [0.0000, -6.7178, 6.7824]],
  "species": ["Pr", "Pr", "Pr", "Sm", "Sm", "Sm", "Sm", "Y", "Y", "Y"],
  "frac_coords": [[0.0000, 0.0000, 0.0000], [0.0000, 0.4993, 0.8421], [0.0000, 0.8421, 0.4993], [0.5000, 0.0448, 0.3005], [0.5000, 0.3005, 0.0448], [0.5000, 0.5417, 0.5417], [0.5000, 0.8003, 0.8003], [0.0000, 0.3430, 0.3430], [0.5000, 0.1736, 0.6656], [0.5000, 0.6656, 0.1736]],
  "space_group": "Amm2",
  "e_form_ev_per_atom": 0.095,
  "n_ef_per_ev_cell": 9.48
}



Record 9
{
  "formula": "KNaTl2Hg",
  "functional": "PBE-GGA",
  "state": "optimized geometry",
  "lattice": [[5.8353, 0.0000, 0.0000], [0.0000, 5.8353, 0.0000], [0.0000, 0.0000, 5.8370]],
  "species": ["K", "Na", "Tl", "Tl", "Hg"],
  "frac_coords": [[0.0000, 0.0000, 0.0000], [0.5000, 0.5000, 0.0000], [0.0000, 0.5000, 0.5000], [0.5000, 0.0000, 0.5000], [0.5000, 0.5000, 0.5000]],
  "space_group": "P4/mmm",
  "e_form_ev_per_atom": 0.031,
  "n_ef_per_ev_cell": 4.04,
  "e_above_lowest_polymorph_mev_per_atom": 161
}



Record 10
{
  "formula": "Pr3Nd6Sc2",
  "functional": "PBE-GGA",
  "state": "optimized geometry",
  "lattice": [[2.9249, -6.0943, 0.0000], [2.9249, 6.0943, 0.0000], [-0.0106, 0.0000, 10.4897]],
  "species": ["Pr", "Pr", "Pr", "Nd", "Nd", "Nd", "Nd", "Nd", "Nd", "Sc", "Sc"],
  "frac_coords": [[0.0000, 0.0000, 0.0000], [0.2960, 0.7040, 0.0000], [0.7040, 0.2960, 0.0000], [0.1496, 0.8482, 0.3180], [0.1518, 0.8504, 0.6820], [0.4988, 0.4988, 0.2150], [0.5012, 0.5012, 0.7850], [0.8482, 0.1496, 0.3180], [0.8504, 0.1518, 0.6820], [0.3727, 0.6273, 0.5000], [0.6273, 0.3727, 0.5000]],
  "space_group": "C2/m",
  "e_form_ev_per_atom": 0.139,
  "n_ef_per_ev_cell": 17.86
}



Record 11
{
  "formula": "Ac4ZnIr",
  "functional": "PBE-GGA",
  "state": "optimized geometry",
  "lattice": [[7.1029, 0.0000, 0.0000], [0.0000, 4.3166, 0.0000], [-2.9727, 0.0000, 7.7638]],
  "species": ["Ac", "Ac", "Ac", "Ac", "Zn", "Ir"],
  "frac_coords": [[0.2421, 0.0000, 0.2302], [0.2506, 0.5000, 0.7866], [0.7494, 0.5000, 0.2134], [0.7579, 0.0000, 0.7698], [0.0000, 0.0000, 0.5000], [0.0000, 0.5000, 0.0000]],
  "space_group": "P2/m",
  "e_form_ev_per_atom": -0.276,
  "n_ef_per_ev_cell": 7.14,
  "e_above_lowest_polymorph_mev_per_atom": 46
}



Record 12
{
  "formula": "HfZrZnTc",
  "functional": "PBE-GGA",
  "state": "optimized geometry",
  "lattice": [[3.3326, 0.0000, 0.0000], [0.0000, 3.3326, 0.0000], [0.0000, 0.0000, 6.5351]],
  "species": ["Hf", "Zr", "Zn", "Tc"],
  "frac_coords": [[0.0000, 0.0000, 0.0000], [0.0000, 0.0000, 0.4805], [0.5000, 0.5000, 0.7450], [0.5000, 0.5000, 0.2357]],
  "space_group": "P4mm",
  "e_form_ev_per_atom": -0.388,
  "n_ef_per_ev_cell": 2.71
}